# 1
DFT (PBE) results for a relaxed structure of Nd8Sn2Bi.

Unit cell a=20.936 b=5.051 c=7.244 alpha=90.00 beta=104.92 gamma=90.00
Space group C2/m (No. 12)
Symmetry-distinct sites (fractional):
Nd  0.031  0.000  0.261 x4
Nd  0.099  0.500  0.974 x4
Nd  0.160  0.500  0.498 x4
Nd  0.218  0.000  0.826 x4
Sn  0.185  0.000  0.250 x4
Bi  0.000  0.500  0.500 x2

Summary:
Electronic total energy   -108.90 eV/cell
Density of states at the Fermi level   1.27 states/eV per atom
Total magnetization   0.99 μB per formula unit

# 2
DFT (PBE) results for a relaxed structure of NdSnBi.

Unit cell a=5.3689 b=5.3689 c=3.7062 alpha=90.00 beta=90.00 gamma=120.00
Space group P3m1 (No. 156)
Symmetry-distinct sites (fractional):
Nd  0.0000  0.0000  0.0000 x1
Sn  0.3333  0.6667  0.4746 x1
Bi  0.6667  0.3333  0.5121 x1

Summary:
Electronic total energy   -13.79 eV/cell
ΔE to the lowest computed polymorph   0.297 eV per atom
Density of states at the Fermi level   0.65 states/eV per atom
Total magnetization   0.00 μB per formula unit